# Rb2HoNiF6 (PBE with a Hubbard U, relaxed)
# * uncorrected energy: -5.000 eV/atom
data_Rb2HoNiF6
_chemical_formula_sum 'Rb4 Ho2 Ni2 F12'
_space_group_name_H-M_alt 'I 4/m m m'
_space_group_IT_number 139
_space_group_name_Hall '-I 4 2'
_cell_length_a 6.001
_cell_length_b 6.001
_cell_length_c 10.071
_cell_angle_alpha 90.00
_cell_angle_beta 90.00
_cell_angle_gamma 90.00
loop_
_atom_site_label
_atom_site_type_symbol
_atom_site_fract_x
_atom_site_fract_y
_atom_site_fract_z
Rb1 Rb 0.000 0.500 0.250
Ho1 Ho 0.000 0.000 0.000
Ni1 Ni 0.000 0.000 0.500
F1 F 0.000 0.000 0.214
F2 F 0.245 0.245 0.500